Here is a relaxed ZnCdNiPd crystal from OQMD. Energies are from PBE.

a b c (Å): 6.210 6.210 6.210
angles (deg): 90.00 90.00 90.00
Sites, in units of the cell vectors:
Zn 0.000 0.000 0.000
Zn 0.000 0.500 0.500
Zn 0.500 0.000 0.500
Zn 0.500 0.500 0.000
Cd 0.000 0.000 0.500
Cd 0.000 0.500 0.000
Cd 0.500 0.000 0.000
Cd 0.500 0.500 0.500
Ni 0.250 0.250 0.250
Ni 0.250 0.750 0.750
Ni 0.750 0.250 0.750
Ni 0.750 0.750 0.250
Pd 0.250 0.250 0.750
Pd 0.250 0.750 0.250
Pd 0.750 0.250 0.250
Pd 0.750 0.750 0.750

Values from the calculation:
- crystal system = cubic
- mass density (g/cm³) = 9.51
- energy of formation (eV per atom) = -0.22